[1]
MgPaPtO6, optimized geometry, DFT PBE-GGA; crystal system = trigonal; E_form (uncorrected) = -2.0427 eV/atom; DOS(E_F) = 16.459 states/eV/cell
1.0
5.4068 0.0000 0.0000
-2.7034 4.6824 0.0000
0.0000 0.0000 9.0271
Mg Pa Pt O
2 2 2 12
Direct
0.0000 0.0000 0.0000 Mg
0.0000 0.0000 0.5000 Mg
0.3333 0.6667 0.2500 Pa
0.6667 0.3333 0.7500 Pa
0.6667 0.3333 0.2500 Pt
0.3333 0.6667 0.7500 Pt
0.6737 0.6505 0.1276 O
0.9768 0.3263 0.1276 O
0.3263 0.9768 0.6276 O
0.0232 0.6737 0.8724 O
0.3495 0.3263 0.3724 O
0.9768 0.6505 0.3724 O
0.6505 0.9768 0.8724 O
0.6737 0.0232 0.3724 O
0.0232 0.3495 0.6276 O
0.3495 0.0232 0.1276 O
0.6505 0.6737 0.6276 O
0.3263 0.3495 0.8724 O

***

[2]
VMo2Os, optimized geometry, DFT PBE-GGA; polymorph energy (0 for the lowest one) = 493 meV per atom; crystal system = trigonal; ΔE_f = 0.45 eV per atom; DOS(E_F) = 4.454 states/eV/cell
1.0
-0.3677 -1.9689 1.8862
-1.2801 -2.3376 -0.6831
7.8042 -5.3054 -2.0098
Mo Os V
2 1 1
Direct
0.4123 0.4123 0.7632 Mo
0.5877 0.5877 0.2368 Mo
0.0000 0.0000 0.0000 Os
0.5000 0.5000 0.5000 V

***

[3]
LiBe2Pt, optimized geometry, DFT PBE-GGA; crystal system = orthorhombic; ΔE_f = 0.15 eV per atom; DOS(E_F) = 1.337 states/eV/cell
1.0
9.8387 0.0000 0.0000
4.9193 2.2658 -0.9522
4.9193 -0.1583 2.4526
Li Be Pt
1 2 1
Direct
0.0000 0.0000 0.0000 Li
0.7269 0.0000 0.0000 Be
0.2731 0.0000 0.0000 Be
0.5000 0.0000 0.0000 Pt

***

[4]
Li3AgSb, optimized geometry, DFT PBE-GGA; polymorph energy (0 for the lowest one) = 134 meV per atom; crystal system = orthorhombic; E_form (uncorrected) = -0.2657 eV/atom; DOS(E_F) = 1.790 states/eV/cell
1.0
6.6936 -0.3889 0.0581
-3.6244 5.6409 -0.0581
-3.0955 -1.7138 5.6956
Li Ag Sb
6 2 2
Direct
0.0328 0.2549 0.7238 Li
0.0328 0.8089 0.2778 Li
0.5311 0.7549 0.7222 Li
0.0879 0.2813 0.3066 Li
0.5311 0.3089 0.2762 Li
0.9747 0.7813 0.6934 Li
0.5312 0.0314 0.9998 Ag
0.0316 0.5314 0.0002 Ag
0.5958 0.7818 0.3140 Sb
0.4678 0.2818 0.6860 Sb

***

[5]
CdSiTc2Au, optimized geometry, DFT PBE-GGA; crystal system = tetragonal; E_form (uncorrected) = 1.8216 eV/atom; DOS(E_F) = 3.804 states/eV/cell
1.0
5.0585 0.0000 0.0000
0.0000 5.0585 0.0000
0.0000 0.0000 5.0322
Si Au Tc Cd
1 1 2 1
Direct
0.5000 0.5000 0.5000 Si
0.0000 0.0000 0.0000 Au
0.0000 0.5000 0.0000 Tc
0.5000 0.0000 0.0000 Tc
0.0000 0.0000 0.5000 Cd

***

[6]
LaCuNi2, optimized geometry, DFT PBE-GGA; crystal system = tetragonal; ΔE_f = -0.02 eV per atom; DOS(E_F) = 1.741 states/eV/cell
1.0
-0.3961 3.7396 2.9920
-1.2050 3.6785 -2.8478
-2.0525 -4.3327 0.3296
La Cu Ni
1 1 2
Direct
0.0000 0.0000 0.0000 La
0.5000 0.5000 0.0000 Cu
0.7500 0.2500 0.5000 Ni
0.2500 0.7500 0.5000 Ni

***

[7]
PuNp2Ge, optimized geometry, DFT PBE-GGA; polymorph energy (0 for the lowest one) = 0 meV per atom; crystal system = orthorhombic; ΔE_f = -0.09 eV per atom; DOS(E_F) = 7.371 states/eV/cell
1.0
4.7098 0.0948 2.2511
0.9869 3.7226 2.7241
1.1589 1.3908 5.8493
Pu Np Ge
1 2 1
Direct
0.3188 0.9575 0.6356 Pu
0.2139 0.9573 0.1882 Np
0.8381 0.4573 0.8761 Np
0.7664 0.4573 0.4120 Ge

***

[8]
Th2BiAs, optimized geometry, DFT PBE-GGA; crystal system = tetragonal; ΔE_f = -0.78 eV per atom; DOS(E_F) = 5.149 states/eV/cell
1.0
3.7539 0.0000 0.0000
0.0000 3.7539 0.0000
0.0000 0.0000 7.8005
As Bi Th
1 1 2
Direct
0.5000 0.5000 0.0000 As
0.5000 0.5000 0.5000 Bi
0.0000 0.0000 0.7685 Th
0.0000 0.0000 0.2315 Th